Computed, not measured: CrO after structural relaxation at the PBE with a Hubbard U level of DFT.

Structure (POSCAR):
```
CrO
1.0
-7.245 2.085 -0.947
1.639 -6.704 3.180
0.016 1.226 2.577
Cr O
6 6
direct
0.888 0.363 0.250
0.525 0.888 0.750
0.637 0.525 0.250
0.112 0.637 0.750
0.475 0.112 0.250
0.363 0.475 0.750
0.703 0.066 0.250
0.637 0.703 0.750
0.934 0.637 0.250
0.297 0.934 0.750
0.363 0.297 0.250
0.066 0.363 0.750
```

Summary:
Its space group is P6_3/m (176). The raw total energy comes out at -78.94 eV per cell. The size of the total moment is 0.33 μB per atom.